No. 1
# Zn2CdAg2

A geometry-optimized Zn2CdAg2 structure (PBEsol, the Alexandria database).

Lattice parameters (Å, degrees): 7.389 7.389 3.036 90.00 90.00 90.00
Space group P4/mbm (No. 127)
Symmetry-distinct sites (fractional):
Zn 0.159 0.341 0.000 [4 per cell]
Cd 0.000 0.000 0.500 [2 per cell]
Ag 0.138 0.638 0.500 [4 per cell]

Computed properties:
- formation energy from the elements (meV/atom) = -2
- distance to the lowest polymorph of the same formula (eV/atom) = 0.000
- total magnetization (μB/cell) = 0.00


No. 2
# ZnCdAg2

A geometry-optimized ZnCdAg2 structure (PBEsol, the Alexandria database).

Lattice parameters (Å, degrees): 2.868 4.183 5.652 90.00 100.29 90.00
Space group P2/m (No. 10)
Symmetry-distinct sites (fractional):
Zn 0.000 0.000 0.000 [1 per cell]
Cd 0.000 0.000 0.500 [1 per cell]
Ag 0.425 0.500 0.238 [2 per cell]

Computed properties:
- formation energy from the elements (meV/atom) = -37
- total magnetization (μB/cell) = 0.00


No. 3
# ZnCdAg

A geometry-optimized ZnCdAg structure (PBEsol, the Alexandria database).

Lattice parameters (Å, degrees): 6.138 6.138 6.138 90.00 90.00 90.00
Space group F-43m (No. 216)
Symmetry-distinct sites (fractional):
Zn 0.000 0.000 0.000 [4 per cell]
Cd 0.250 0.250 0.250 [4 per cell]
Ag 0.250 0.250 0.750 [4 per cell]

Computed properties:
- formation energy from the elements (meV/atom) = 136
- distance to the lowest polymorph of the same formula (eV/atom) = 0.154
- total magnetization (μB/cell) = 0.00


No. 4
# Zn2CdAg

A geometry-optimized Zn2CdAg structure (PBEsol, the Alexandria database).

Lattice parameters (Å, degrees): 4.040 4.040 3.946 90.00 90.00 90.00
Space group P4/mmm (No. 123)
Symmetry-distinct sites (fractional):
Zn 0.000 0.500 0.000 [2 per cell]
Cd 0.000 0.000 0.500 [1 per cell]
Ag 0.500 0.500 0.500 [1 per cell]

Computed properties:
- formation energy from the elements (meV/atom) = 21
- total magnetization (μB/cell) = 0.00


Please write out number 3 again, unchanged.
# ZnCdAg

A geometry-optimized ZnCdAg structure (PBEsol, the Alexandria database).

Lattice parameters (Å, degrees): 6.138 6.138 6.138 90.00 90.00 90.00
Space group F-43m (No. 216)
Symmetry-distinct sites (fractional):
Zn 0.000 0.000 0.000 [4 per cell]
Cd 0.250 0.250 0.250 [4 per cell]
Ag 0.250 0.250 0.750 [4 per cell]

Computed properties:
- formation energy from the elements (meV/atom) = 136
- distance to the lowest polymorph of the same formula (eV/atom) = 0.154
- total magnetization (μB/cell) = 0.00